This record from Alexandria via LeMat-Bulk describes a geometry-optimized UNiB2O8 structure. The functional is PBE with a Hubbard U.

Unit cell a=5.1695 b=5.1695 c=5.9220 alpha=90.00 beta=90.00 gamma=120.00
Space group P-3m1 (No. 164)
Symmetry-distinct sites (fractional):
U1 0.0000 0.0000 0.0000 [1 per cell]
Ni1 0.0000 0.0000 0.5000 [1 per cell]
B1 0.3333 0.6667 0.6888 [2 per cell]
O1 0.1755 0.3511 0.7685 [6 per cell]
O2 0.3333 0.6667 0.4489 [2 per cell]

Properties
For the electronic total energy, the calculation gives -7.38 eV per atom. The calculated density comes out at 5.4 g cm⁻³. The value obtained for the density of states at the Fermi level is 5.96 states/eV/f.u.